Version A
LiH2Pt GGA-PBE optimized geometry; V = 8.98 Å³ per atom; DOS at the Fermi energy = 0.10 states/eV/atom; space group = P4/mmm (123)
1.0
2.909 0.000 0.000
0.000 4.970 -0.016
0.000 0.015 4.970
H Li Pt
4 2 2
Direct
0.500 0.750 0.750
0.499 0.250 0.750
0.501 0.750 0.250
0.500 0.250 0.250
0.000 0.000 0.000
0.000 0.500 0.500
0.500 0.500 0.000
0.500 0.000 0.500

=====

Version B
LiH2Pt GGA-PBE optimized geometry; V = 8.14 Å³ per atom; DOS at the Fermi energy = 0.18 states/eV/atom; space group = Fm-3m (225)
1.0
-0.568 2.654 2.341
0.092 3.410 -1.100
-3.027 1.914 -0.160
H Pt Li
2 1 1
Direct
0.250 0.250 0.250
0.750 0.750 0.750
0.500 0.500 0.500
0.000 0.000 0.000

=====

Version C
LiH2Pt GGA-PBE optimized geometry; V = 8.73 Å³ per atom; DOS at the Fermi energy = 0.23 states/eV/atom; space group = R-3m (166)
1.0
2.992 0.000 0.000
1.496 2.592 0.000
1.496 0.864 4.500
H Li Pt
2 1 1
Direct
0.735 0.735 0.796
0.265 0.265 0.204
0.500 0.500 0.500
0.000 0.000 0.000

=====

Version D
LiH2Pt GGA-PBE optimized geometry; V = 9.41 Å³ per atom; DOS at the Fermi energy = 0.21 states/eV/atom; space group = I-42d (122)
1.0
-1.983 -3.022 -2.020
2.311 0.728 -3.358
3.137 -4.046 -1.272
Li Pt H
2 2 4
Direct
0.500 0.500 0.000
0.250 0.750 0.500
0.000 0.000 0.000
0.750 0.250 0.500
0.375 0.336 0.750
0.664 0.125 0.250
0.875 0.914 0.750
0.086 0.625 0.250

=====

Most stable pick: version A. Distance to second place: 13.2 kJ/mol of atoms.

=====

Version A
LiH4Pt GGA-PBE optimized geometry; V = 8.62 Å³ per atom; DOS at the Fermi energy = 0.09 states/eV/atom; space group = P2_1/c (14)
1.0
5.149 0.000 -0.891
0.000 4.413 0.000
-1.006 0.000 4.728
Pt H Li
2 8 2
Direct
0.500 0.000 0.500
0.000 0.500 0.500
0.269 0.760 0.577
0.731 0.240 0.423
0.386 0.914 0.142
0.614 0.086 0.858
0.886 0.586 0.142
0.769 0.740 0.577
0.231 0.260 0.423
0.114 0.414 0.858
0.000 0.000 0.000
0.500 0.500 0.000

=====

Version B
LiH4Pt GGA-PBE optimized geometry; V = 8.55 Å³ per atom; DOS at the Fermi energy = 0.11 states/eV/atom; space group = Cmcm (63)
1.0
-1.761 -3.079 0.876
1.918 0.090 4.173
-3.828 4.828 1.655
Pt H Li
2 8 2
Direct
0.103 0.750 0.207
0.897 0.250 0.793
0.000 0.500 0.000
0.604 0.750 0.208
0.200 0.511 0.400
0.800 0.011 0.600
0.396 0.250 0.792
0.200 0.989 0.400
0.000 0.000 0.000
0.800 0.489 0.600
0.366 0.750 0.732
0.634 0.250 0.268

=====

Most stable pick: version A. Distance to second place: 1.7 kJ/mol of atoms.

=====

Version A
Li2H4Pt GGA-PBE optimized geometry; V = 9.20 Å³ per atom; DOS at the Fermi energy = 0.01 states/eV/atom; space group = Cmcm (63)
1.0
4.490 0.000 0.000
0.000 5.309 -0.988
0.000 0.018 5.400
Li H Pt
4 8 2
Direct
0.250 0.074 0.371
0.750 0.926 0.629
0.750 0.371 0.074
0.250 0.629 0.926
0.003 0.741 0.259
0.997 0.259 0.741
0.250 0.343 0.136
0.250 0.864 0.657
0.497 0.741 0.259
0.503 0.259 0.741
0.750 0.136 0.343
0.750 0.657 0.864
0.750 0.885 0.115
0.250 0.115 0.885

=====

Version B
Li2H4Pt GGA-PBE optimized geometry; V = 9.16 Å³ per atom; DOS at the Fermi energy = 0.06 states/eV/atom; space group = I4/mmm (139)
1.0
3.650 0.000 0.000
0.000 3.650 0.000
1.825 1.825 4.813
Li H Pt
2 4 1
Direct
0.633 0.633 0.735
0.367 0.367 0.265
0.827 0.827 0.346
0.500 0.000 0.000
0.000 0.500 0.000
0.173 0.173 0.654
0.000 0.000 0.000

=====

Most stable pick: version A. Distance to second place: 2.6 kJ/mol of atoms.

=====

Version A
LiH4Pt2 GGA-PBE optimized geometry; V = 9.60 Å³ per atom; DOS at the Fermi energy = 0.06 states/eV/atom; space group = Fddd (70)
1.0
-3.978 3.104 -2.202
1.267 -4.926 -2.105
-2.120 -1.322 5.285
H Pt Li
8 4 2
Direct
0.411 0.522 0.284
0.873 0.762 0.284
0.237 0.127 0.716
0.479 0.590 0.716
0.839 0.228 0.216
0.377 0.988 0.216
0.013 0.623 0.784
0.771 0.160 0.784
0.625 0.875 0.250
0.625 0.375 0.750
0.625 0.375 0.250
0.125 0.375 0.750
0.250 0.750 0.500
0.000 0.000 0.000

=====

Version B
LiH4Pt2 GGA-PBE optimized geometry; V = 9.72 Å³ per atom; DOS at the Fermi energy = 0.22 states/eV/atom; space group = I4_1/amd (141)
1.0
0.610 -4.220 3.662
4.909 0.290 -2.723
4.284 0.907 3.524
Pt H Li
4 8 2
Direct
0.625 0.375 0.750
0.625 0.875 0.750
0.625 0.375 0.250
0.125 0.375 0.250
0.452 0.631 0.180
0.798 0.118 0.321
0.369 0.189 0.179
0.881 0.202 0.680
0.439 0.119 0.679
0.368 0.548 0.821
0.811 0.632 0.820
0.882 0.561 0.320
0.250 0.750 0.500
0.000 0.000 0.000

=====

Most stable pick: version A. Distance to second place: 4.7 kJ/mol of atoms.

=====

Version A
Li2HPt GGA-PBE optimized geometry; V = 12.24 Å³ per atom; DOS at the Fermi energy = 0.45 states/eV/atom; space group = Fm-3m (225)
1.0
0.000 2.904 2.904
2.904 0.000 2.904
2.904 2.904 0.000
H Li Pt
1 2 1
Direct
0.000 0.000 0.000
0.750 0.750 0.750
0.250 0.250 0.250
0.500 0.500 0.500

=====

Version B
Li2HPt GGA-PBE optimized geometry; V = 11.45 Å³ per atom; DOS at the Fermi energy = 0.27 states/eV/atom; space group = I-42d (122)
1.0
-3.915 4.256 3.952
-5.806 -2.988 -2.534
-4.821 -0.617 2.094
H Li Pt
2 4 2
Direct
0.250 0.750 0.500
0.500 0.500 0.000
0.511 0.125 0.250
0.239 0.625 0.250
0.375 0.489 0.750
0.875 0.761 0.750
0.750 0.250 0.500
0.000 0.000 0.000

=====

Version C
Li2HPt GGA-PBE optimized geometry; V = 11.55 Å³ per atom; DOS at the Fermi energy = 0.35 states/eV/atom; space group = Pnma (62)
1.0
4.684 0.000 0.000
0.000 5.499 0.000
0.000 0.000 7.173
Li H Pt
8 4 4
Direct
0.815 0.301 0.928
0.185 0.699 0.428
0.685 0.801 0.572
0.685 0.801 0.928
0.315 0.199 0.072
0.315 0.199 0.428
0.185 0.699 0.072
0.815 0.301 0.572
0.019 0.692 0.750
0.481 0.192 0.750
0.981 0.308 0.250
0.519 0.808 0.250
0.699 0.536 0.250
0.801 0.036 0.250
0.199 0.964 0.750
0.301 0.464 0.750

=====

Most stable pick: version C. Distance to second place: 13.0 kJ/mol of atoms.

=====

Version A
Li2H3Pt GGA-PBE optimized geometry; V = 8.75 Å³ per atom; DOS at the Fermi energy = 0.07 states/eV/atom; space group = P-3m1 (164)
1.0
-1.677 -3.701 2.079
3.071 2.619 2.130
-4.299 3.212 2.249
Pt Li H
2 4 6
Direct
0.667 0.333 0.868
0.333 0.667 0.132
0.667 0.333 0.311
0.000 0.000 0.000
0.000 0.000 0.500
0.333 0.667 0.689
0.160 0.320 0.287
0.160 0.840 0.287
0.320 0.160 0.713
0.840 0.160 0.713
0.840 0.680 0.713
0.680 0.840 0.287

=====

Version B
Li2H3Pt GGA-PBE optimized geometry; V = 9.29 Å³ per atom; DOS at the Fermi energy = 0.07 states/eV/atom; space group = C2/m (12)
1.0
-3.181 -1.106 1.410
3.827 -3.775 0.948
2.150 1.109 5.724
Pt H Li
2 6 4
Direct
0.000 0.000 0.750
0.000 0.000 0.250
0.831 0.662 0.331
0.831 0.662 0.831
0.169 0.338 0.169
0.500 0.000 0.250
0.500 0.000 0.750
0.169 0.338 0.669
0.363 0.727 0.568
0.637 0.273 0.432
0.637 0.273 0.932
0.363 0.727 0.068

=====

Most stable pick: version B. Distance to second place: 11.4 kJ/mol of atoms.